No. 1
This record from Alexandria describes an optimized crystal structure of BaGa4Cu6. The functional is PBE.

Cell: 6.310 6.310 6.722 Å, 60.63 60.62 87.67°
Atoms (fractional coordinates):
1 Ba 0.086 0.086 0.918
2 Ga 0.584 0.232 0.275
3 Ga 0.790 0.790 0.792
4 Ga 0.232 0.584 0.275
5 Ga 0.510 0.510 0.791
6 Cu 0.261 0.760 0.570
7 Cu 0.760 0.261 0.570
8 Cu 0.590 0.590 0.337
9 Cu 0.012 0.511 0.067
10 Cu 0.164 0.164 0.337
11 Cu 0.511 0.012 0.067

Calculated values
**E_form**: -0.0735 eV/atom
**Space group**: No. 8
**Final energy**: -3.58 eV per atom

---

No. 2
This record from Alexandria describes an optimized crystal structure of Er12Tm7Cd. The functional is PBE.

Cell: 8.238 9.666 8.256 Å, 79.33 88.65 72.28°
Atoms (fractional coordinates):
1 Er 0.912 0.184 0.618
2 Er 0.568 0.230 0.873
3 Er 0.554 0.150 0.477
4 Er 0.838 0.626 0.545
5 Er 0.303 0.059 0.797
6 Er 0.627 0.565 0.868
7 Er 0.373 0.435 0.132
8 Er 0.697 0.941 0.203
9 Er 0.162 0.374 0.455
10 Er 0.446 0.850 0.523
11 Er 0.432 0.770 0.127
12 Er 0.088 0.816 0.382
13 Tm 0.916 0.609 0.140
14 Tm 0.261 0.120 0.198
15 Tm 0.818 0.282 0.193
16 Tm 0.500 0.500 0.500
17 Tm 0.182 0.718 0.807
18 Tm 0.739 0.880 0.802
19 Tm 0.084 0.391 0.860
20 Cd 0.000 0.000 0.000

Calculated values
**E_form**: 0.1217 eV/atom
**Space group**: No. 2
**Final energy**: -4.23 eV per atom

---

No. 3
This record from Alexandria describes an optimized crystal structure of CaMgHg. The functional is PBE.

Cell: 4.497 4.498 7.922 Å, 89.99 89.98 90.02°
Atoms (fractional coordinates):
1 Ca 0.813 0.866 0.570
2 Ca 0.313 0.366 0.269
3 Mg 0.815 0.367 0.920
4 Mg 0.315 0.867 0.920
5 Hg 0.813 0.866 0.163
6 Hg 0.313 0.366 0.677

Calculated values
**E_form**: -0.4042 eV/atom
**Space group**: No. 39
**Final energy**: -1.70 eV per atom

---

No. 4
This record from Alexandria describes an optimized crystal structure of K2CdAs. The functional is PBE.

Cell: 5.969 5.969 5.969 Å, 128.79 128.84 75.31°
Atoms (fractional coordinates):
1 As 0.750 0.250 0.500
2 Cd 0.250 0.750 0.500
3 K 0.000 0.000 0.000
4 K 0.500 0.500 0.000

Calculated values
**E_form**: -0.1038 eV/atom
**Space group**: No. 139
**Excess energy over the best structure of this formula in the dataset**: 0.62 eV per formula unit
**Final energy**: -2.04 eV per atom

---

No. 5
This record from Alexandria describes an optimized crystal structure of TcPt2N. The functional is PBE.

Cell: 6.690 6.690 5.333 Å, 51.16 51.16 90.00°
Site moments in Bohr magnetons follow the coordinates.
Atoms (fractional coordinates):
1 Tc 0.000 0.000 0.000  1.02
2 Tc 0.750 0.250 0.500  1.04
3 Pt 0.565 0.125 0.250  0.04
4 Pt 0.185 0.625 0.250  0.03
5 Pt 0.375 0.435 0.750  0.03
6 Pt 0.875 0.815 0.750  0.04
7 N 0.500 0.500 0.000  -0.05
8 N 0.250 0.750 0.500  -0.05

Calculated values
**Space group**: No. 122
**Formation energy without anion corrections**: 0.80 eV per atom
**Final energy**: -6.89 eV per atom

---

No. 6
This record from Alexandria describes an optimized crystal structure of ReIrRh. The functional is PBE.

Cell: 4.745 4.745 4.745 Å, 146.58 131.84 59.89°
Atoms (fractional coordinates):
1 Re 0.336 0.336 0.000
2 Ir 0.996 0.996 0.000
3 Rh 0.668 0.668 0.000

Calculated values
**E_form**: -0.1473 eV/atom
**Space group**: No. 44
**Excess energy over the best structure of this formula in the dataset**: 0.00 eV per formula unit
**Final energy**: -9.70 eV per atom

---

No. 7
This record from Alexandria describes an optimized crystal structure of BaSc2Pb. The functional is PBE.

Cell: 6.008 6.008 6.291 Å, 77.58 77.58 33.94°
Site moments in Bohr magnetons follow the coordinates.
Atoms (fractional coordinates):
1 Ba 0.750 0.750 0.750  0.09
2 Pb 0.250 0.250 0.250  -0.01
3 Sc 0.972 0.972 0.050  0.47
4 Sc 0.528 0.528 0.450  0.47

Calculated values
**E_form**: 0.0062 eV/atom
**Space group**: No. 12
**Final energy**: -4.57 eV per atom

---

No. 8
This record from Alexandria describes an optimized crystal structure of LaAs2Os. The functional is PBE.

Cell: 3.240 3.240 7.310 Å, 90.00 90.00 90.00°
Atoms (fractional coordinates):
1 As 0.000 0.000 0.949
2 As 0.000 0.000 0.551
3 Os 0.500 0.500 0.750
4 La 0.500 0.500 0.250

Calculated values
**E_form**: -0.1181 eV/atom
**Space group**: No. 123
**Excess energy over the best structure of this formula in the dataset**: 2.18 eV per formula unit
**Final energy**: -6.48 eV per atom

---

No. 9
This record from Alexandria describes an optimized crystal structure of InAsSe3. The functional is PBE.

Cell: 4.018 6.625 10.722 Å, 90.00 100.80 90.00°
Atoms (fractional coordinates):
1 In 0.864 0.959 0.728
2 In 0.136 0.459 0.272
3 As 0.334 0.509 0.669
4 As 0.666 0.009 0.331
5 Se 0.901 0.334 0.801
6 Se 0.099 0.834 0.199
7 Se 0.575 0.277 0.150
8 Se 0.425 0.777 0.850
9 Se 0.766 0.714 0.532
10 Se 0.234 0.214 0.468

Calculated values
**Space group**: No. 36
**Excess energy over the best structure of this formula in the dataset**: 0.00 eV per formula unit
**Formation energy without anion corrections**: -0.29 eV per atom
**Final energy**: -3.86 eV per atom

---

No. 10
This record from Alexandria describes an optimized crystal structure of ErPuIn. The functional is PBE.

Cell: 3.340 3.340 7.680 Å, 102.56 102.56 90.00°
Site moments in Bohr magnetons follow the coordinates.
Atoms (fractional coordinates):
1 In 0.282 0.282 0.564  -0.02
2 Pu 0.943 0.943 0.886  5.52
3 Er 0.625 0.625 0.251  0.06

Calculated values
**E_form**: -0.1160 eV/atom
**Space group**: No. 107
**Excess energy over the best structure of this formula in the dataset**: 0.33 eV per formula unit
**Final energy**: -7.33 eV per atom

---

No. 11
This record from Alexandria describes an optimized crystal structure of LiLaSe2. The functional is PBE.

Cell: 7.391 7.391 7.391 Å, 149.46 148.68 44.31°
Atoms (fractional coordinates):
1 La 0.549 0.549 0.000
2 Li 0.284 0.784 0.500
3 Se 0.957 0.957 0.000
4 Se 0.710 0.210 0.500

Calculated values
**Space group**: No. 44
**Formation energy without anion corrections**: -1.54 eV per atom
**Final energy**: -4.99 eV per atom

---

No. 12
This record from Alexandria describes an optimized crystal structure of Tc5Br3. The functional is PBE.

Cell: 8.920 8.920 4.642 Å, 90.00 90.00 120.00°
Site moments in Bohr magnetons follow the coordinates.
Atoms (fractional coordinates):
1 Tc 0.333 0.667 0.000  1.14
2 Tc 0.667 0.333 0.500  1.14
3 Tc 0.667 0.333 0.000  1.14
4 Tc 0.333 0.667 0.500  1.14
5 Tc 0.168 0.000 0.250  -0.66
6 Tc 0.832 0.000 0.750  -0.66
7 Tc 0.000 0.168 0.250  -0.66
8 Tc 0.832 0.832 0.250  -0.66
9 Tc 0.168 0.168 0.750  -0.66
10 Tc 0.000 0.832 0.750  -0.66
11 Br 0.650 0.000 0.250  0.01
12 Br 0.350 0.000 0.750  0.01
13 Br 0.000 0.650 0.250  0.01
14 Br 0.350 0.350 0.250  0.01
15 Br 0.650 0.650 0.750  0.01
16 Br 0.000 0.350 0.750  0.01

Calculated values
**Space group**: No. 193
**Formation energy without anion corrections**: 1.15 eV per atom
**Final energy**: -5.95 eV per atom

---

No. 13
This record from Alexandria describes an optimized crystal structure of Ba2Ga2Pd. The functional is PBE.

Cell: 3.891 3.891 10.359 Å, 79.17 79.17 90.00°
Atoms (fractional coordinates):
1 Ga 0.750 0.250 0.500
2 Ga 0.250 0.750 0.500
3 Ba 0.404 0.404 0.191
4 Ba 0.596 0.596 0.809
5 Pd 0.000 0.000 0.000

Calculated values
**E_form**: -0.2854 eV/atom
**Space group**: No. 139
**Excess energy over the best structure of this formula in the dataset**: 1.03 eV per formula unit
**Final energy**: -3.30 eV per atom

---

No. 14
This record from Alexandria describes an optimized crystal structure of ZrHgPb3. The functional is PBE.

Cell: 5.587 5.587 5.587 Å, 90.00 90.00 90.00°
Atoms (fractional coordinates):
1 Pb 0.000 0.500 0.000
2 Pb 0.000 0.000 0.500
3 Pb 0.500 0.000 0.000
4 Hg 0.000 0.000 0.000
5 Zr 0.500 0.500 0.500

Calculated values
**E_form**: 0.8935 eV/atom
**Space group**: No. 221
**Excess energy over the best structure of this formula in the dataset**: 3.02 eV per formula unit
**Final energy**: -3.10 eV per atom

---

No. 15
This record from Alexandria describes an optimized crystal structure of La2AlHg. The functional is PBE.

Cell: 8.682 8.682 6.949 Å, 51.34 51.34 90.00°
Atoms (fractional coordinates):
1 Al 0.500 0.500 0.000
2 Al 0.250 0.750 0.500
3 Hg 0.000 0.000 0.000
4 Hg 0.750 0.250 0.500
5 La 0.630 0.125 0.250
6 La 0.120 0.625 0.250
7 La 0.375 0.370 0.750
8 La 0.875 0.880 0.750

Calculated values
**E_form**: -0.0321 eV/atom
**Space group**: No. 122
**Excess energy over the best structure of this formula in the dataset**: 1.62 eV per formula unit
**Final energy**: -3.51 eV per atom

---

No. 16
This record from Alexandria describes an optimized crystal structure of CeYB12. The functional is PBE.

Cell: 4.110 4.110 8.223 Å, 90.00 90.00 90.00°
Site moments in Bohr magnetons follow the coordinates.
Atoms (fractional coordinates):
1 Ce 0.000 0.000 0.000  0.77
2 Y 0.000 0.000 0.500  -0.01
3 B 0.199 0.500 0.251  0.00
4 B 0.199 0.500 0.749  0.00
5 B 0.500 0.500 0.401  0.01
6 B 0.500 0.500 0.900  -0.01
7 B 0.500 0.199 0.251  0.00
8 B 0.500 0.199 0.749  0.00
9 B 0.500 0.500 0.100  -0.01
10 B 0.500 0.500 0.599  0.01
11 B 0.500 0.801 0.251  0.00
12 B 0.500 0.801 0.749  0.00
13 B 0.801 0.500 0.251  0.00
14 B 0.801 0.500 0.749  0.00

Calculated values
**E_form**: -0.4568 eV/atom
**Space group**: No. 123
**Final energy**: -7.07 eV per atom

---

No. 17
This record from Alexandria describes an optimized crystal structure of AgHg2Pt. The functional is PBE.

Cell: 3.007 3.007 8.429 Å, 90.00 90.00 92.50°
Atoms (fractional coordinates):
1 Ag 0.500 0.500 0.750
2 Hg 0.000 0.000 0.009
3 Hg 0.000 0.000 0.491
4 Pt 0.500 0.500 0.250

Calculated values
**E_form**: 0.0765 eV/atom
**Space group**: No. 65
**Excess energy over the best structure of this formula in the dataset**: 0.06 eV per formula unit
**Final energy**: -2.30 eV per atom

---

No. 18
This record from Alexandria describes an optimized crystal structure of Na3Tl4Cd4. The functional is PBE.

Cell: 3.494 5.260 16.530 Å, 80.85 83.93 90.00°
Atoms (fractional coordinates):
1 Na 0.140 0.640 0.720
2 Na 0.860 0.360 0.280
3 Na 0.000 0.000 0.000
4 Tl 0.684 0.184 0.632
5 Tl 0.548 0.548 0.904
6 Tl 0.452 0.452 0.096
7 Tl 0.316 0.816 0.368
8 Cd 0.732 0.732 0.536
9 Cd 0.409 0.909 0.183
10 Cd 0.591 0.091 0.817
11 Cd 0.268 0.268 0.464

Calculated values
**E_form**: -0.0604 eV/atom
**Space group**: No. 71
**Excess energy over the best structure of this formula in the dataset**: 0.00 eV per formula unit
**Final energy**: -1.61 eV per atom

---

No. 19
This record from Alexandria describes an optimized crystal structure of Rb2ZnSiCl6. The functional is PBE.

Cell: 7.519 7.519 6.996 Å, 57.49 57.49 90.00°
Atoms (fractional coordinates):
1 Zn 0.000 0.000 0.000
2 Si 0.500 0.500 0.000
3 Rb 0.750 0.250 0.500
4 Rb 0.250 0.750 0.500
5 Cl 0.241 0.241 0.517
6 Cl 0.759 0.759 0.483
7 Cl 0.253 0.253 0.000
8 Cl 0.747 0.747 0.000
9 Cl 0.747 0.253 0.000
10 Cl 0.253 0.747 0.000

Calculated values
**Space group**: No. 139
**Formation energy without anion corrections**: -1.22 eV per atom
**Final energy**: -3.19 eV per atom

---

No. 20
This record from Alexandria describes an optimized crystal structure of La2Y3TmTe6. The functional is PBE.

Cell: 4.398 8.916 9.891 Å, 102.71 102.84 90.00°
Atoms (fractional coordinates):
1 La 0.832 0.664 0.663
2 La 0.168 0.336 0.337
3 Y 0.500 0.500 0.000
4 Y 0.827 0.165 0.654
5 Y 0.173 0.835 0.346
6 Tm 0.500 0.000 0.000
7 Te 0.338 0.930 0.676
8 Te 0.662 0.592 0.324
9 Te 0.662 0.070 0.324
10 Te 0.995 0.242 0.989
11 Te 0.005 0.758 0.011
12 Te 0.338 0.408 0.676

Calculated values
**Space group**: No. 12
**Formation energy without anion corrections**: -1.38 eV per atom
**Final energy**: -5.76 eV per atom